Below is a relaxed Rb2CaSF6 crystal, with properties calculated at the GGA-PBE level.

Space group: I4/mmm, No. 139
Total DFT energy (no corrections) in eV/atom: -4.47
Crystal system: tetragonal
E_form (uncorrected) in eV per atom: -2.54
Theoretical density in Mg/m³: 3.01
Volume in Å³ per cell: 197

Lattice parameters (Å, degrees): 5.8989 5.8989 7.0353 65.21 65.21 90.00
Positions (direct):
F (0.8056, 0.8056, 0.3888)
F (0.2706, 0.2706, 0.0000)
F (0.7294, 0.2706, 0.0000)
Rb (0.2500, 0.7500, 0.5000)
F (0.1944, 0.1944, 0.6112)
Rb (0.7500, 0.2500, 0.5000)
F (0.7294, 0.7294, 0.0000)
S (0.5000, 0.5000, 0.0000)
F (0.2706, 0.7294, 0.0000)
Ca (0.0000, 0.0000, 0.0000)



Below is a relaxed RbCa2SbF8 crystal, with properties calculated at the GGA-PBE level.

Space group: Pmmm, No. 47
Total DFT energy (no corrections) in eV/atom: -5.15
Crystal system: orthorhombic
E_form (uncorrected) in eV per atom: -3.14
Theoretical density in Mg/m³: 3.86
Volume in Å³ per cell: 189

Lattice parameters (Å, degrees): 4.1100 5.8156 7.9025 90.00 90.00 89.98
Positions (direct):
F (0.0000, 0.7329, 0.2112)
Sb (0.0000, 0.0000, 0.0000)
Rb (0.0000, 0.0000, 0.5000)
F (0.0000, 0.7329, 0.7888)
F (0.5000, 0.2285, 0.0000)
F (0.0000, 0.2671, 0.2112)
Ca (0.5000, 0.5000, 0.2579)
F (0.5002, 0.7133, 0.5000)
F (0.0000, 0.2671, 0.7888)
Ca (0.5000, 0.5000, 0.7421)
F (0.5000, 0.7715, 0.0000)
F (0.4998, 0.2867, 0.5000)



Below is a relaxed Rb2Ca3ScF12 crystal, with properties calculated at the GGA-PBE level.

Space group: R-3m, No. 166
Total DFT energy (no corrections) in eV/atom: -5.45
Crystal system: trigonal
E_form (uncorrected) in eV per atom: -3.41
Theoretical density in Mg/m³: 2.53
Volume in Å³ per cell: 370

Lattice parameters (Å, degrees): 8.0978 8.0978 8.0978 59.34 59.34 59.34
Positions (direct):
F (0.3417, 0.9149, 0.3417)
F (0.9149, 0.3417, 0.3417)
Ca (0.5000, 0.0000, 0.0000)
F (0.0610, 0.7025, 0.0610)
F (0.9390, 0.2975, 0.9390)
Rb (0.6068, 0.6068, 0.6068)
Sc (0.0000, 0.0000, 0.0000)
F (0.7025, 0.0610, 0.0610)
F (0.0610, 0.0610, 0.7025)
Ca (0.0000, 0.0000, 0.5000)
Rb (0.3932, 0.3932, 0.3932)
F (0.9390, 0.9390, 0.2975)
F (0.6583, 0.6583, 0.0851)
F (0.6583, 0.0851, 0.6583)
F (0.3417, 0.3417, 0.9149)
F (0.2975, 0.9390, 0.9390)
F (0.0851, 0.6583, 0.6583)
Ca (0.0000, 0.5000, 0.0000)



Below is a relaxed RbCa2SeF crystal, with properties calculated at the GGA-PBE level.

Space group: P4/mmm, No. 123
Total DFT energy (no corrections) in eV/atom: -3.44
Crystal system: tetragonal
E_form (uncorrected) in eV per atom: -1.37
Theoretical density in Mg/m³: 2.95
Volume in Å³ per cell: 148

Lattice parameters (Å, degrees): 4.8237 6.3660 4.8237 90.00 90.00 90.00
Positions (direct):
Ca (0.5000, 0.0000, 0.0000)
Se (0.0000, 0.5000, 0.0000)
Rb (0.5000, 0.5000, 0.5000)
F (0.0000, 0.0000, 0.0000)
Ca (0.0000, 0.0000, 0.5000)